Li2Pm2Mg15: relaxed, PBE. Values from VASP.

```
&SYSTEM
  ibrav = 0, nat = 19, ntyp = 3
/
ATOMIC_SPECIES
Li 6.94 Li.upf
Pm 145.00 Pm.upf
Mg 24.30 Mg.upf
CELL_PARAMETERS angstrom
5.134 2.964 5.053
-5.134 2.964 5.053
0.000 -5.928 5.053
ATOMIC_POSITIONS crystal
Li 0.097 0.097 0.097
Li 0.903 0.903 0.903
Pm 0.332 0.332 0.332
Pm 0.668 0.668 0.668
Mg 0.000 0.000 0.500
Mg 0.000 0.305 0.695
Mg 0.000 0.500 0.000
Mg 0.000 0.695 0.305
Mg 0.159 0.649 0.649
Mg 0.305 0.000 0.695
Mg 0.305 0.695 0.000
Mg 0.351 0.351 0.841
Mg 0.351 0.841 0.351
Mg 0.500 0.000 0.000
Mg 0.649 0.159 0.649
Mg 0.649 0.649 0.159
Mg 0.695 0.000 0.305
Mg 0.695 0.305 0.000
Mg 0.841 0.351 0.351
```

Computed properties:
* total moment: 0.00 Bohr magnetons per cell
* ΔH_f (0 K): -0.71 eV per formula unit
* uncorrected energy: -38.0 eV for the cell shown
* space group: R-3m (166)